[1]
Density functional theory data (PBE) for a relaxed NpCo5Ge6 crystal.

abc: 6.7318 5.2533 5.9378
angles: 63.75 80.32 67.65
Last column: nearest neighbours and their distance in Å.
Fractional positions:
Ge  0.6954  0.0965  0.3901  4 Co 2.36-2.51
Np  0.0000  0.0000  0.0000  8 Ge 2.81-3.11
Ge  0.6954  0.4866  0.6099  4 Co 2.36-2.51
Ge  0.3046  0.5134  0.3901  4 Co 2.36-2.51
Ge  0.3046  0.9035  0.6099  4 Co 2.36-2.51
Co  0.5000  0.1168  0.7665  6 Ge 2.42-2.51, 1 Co 2.49
Co  0.5000  0.8832  0.2335  6 Ge 2.42-2.51, 1 Co 2.49
Ge  0.7814  0.6389  0.0000  5 Co 2.27-2.47
Ge  0.2186  0.3611  0.0000  5 Co 2.27-2.47
Co  0.5000  0.5000  0.0000  6 Ge 2.27-2.48
Co  0.0000  0.6933  0.6134  4 Ge 2.36-2.47
Co  0.0000  0.3067  0.3866  4 Ge 2.36-2.47

Computed properties:
Energy relative to the elements: -89 kJ/mol of formula units
Uncorrected energy: -6.42 eV/atom
V: 174 Å³ per cell
SG: C2/m, No. 12



[2]
Density functional theory data (PBE) for a relaxed Np2Co5Ge4 crystal.

abc: 5.3712 5.3246 7.4681
angles: 79.55 68.92 59.71
Last column: nearest neighbours and their distance in Å.
Fractional positions:
Co  0.5000  0.0000  0.0000  4 Ge 2.32
Ge  0.2136  0.3106  0.2622  5 Co 2.30-2.43
Co  0.2500  0.5000  0.5000  4 Ge 2.30
Ge  0.7864  0.6894  0.7378  5 Co 2.30-2.43
Np  0.1238  0.0000  0.7523  6 Ge 3.04-3.17, 10 Co 3.17-3.19
Co  0.7500  0.5000  0.5000  4 Ge 2.30
Ge  0.5242  0.6894  0.2622  5 Co 2.30-2.43
Ge  0.4758  0.3106  0.7378  5 Co 2.30-2.43
Co  0.0000  0.5000  0.0000  4 Ge 2.43, 4 Co 2.66-2.69
Co  0.5000  0.5000  0.0000  4 Ge 2.43, 4 Co 2.66-2.69
Np  0.8762  0.0000  0.2477  6 Ge 3.04-3.17, 10 Co 3.17-3.19

Computed properties:
Energy relative to the elements: -178 kJ/mol of formula units
Uncorrected energy: -7.43 eV/atom
V: 172 Å³ per cell
SG: Fmmm, No. 69



[3]
Density functional theory data (PBE) for a relaxed NpCo4Ge crystal.

abc: 4.8581 4.8581 4.8581
angles: 60.00 60.00 60.00
Last column: nearest neighbours and their distance in Å.
Fractional positions:
Co  0.6266  0.6266  0.1202  6 Co 2.40-2.46
Ge  0.0000  0.0000  0.0000  12 Co 2.85, 4 Np 2.97
Co  0.6266  0.1202  0.6266  6 Co 2.40-2.46
Co  0.6266  0.6266  0.6266  6 Co 2.40-2.46
Co  0.1202  0.6266  0.6266  6 Co 2.40-2.46
Np  0.2500  0.2500  0.2500  12 Co 2.85, 4 Ge 2.97

Computed properties:
Energy relative to the elements: -47 kJ/mol of formula units
Uncorrected energy: -7.74 eV/atom
V: 81 Å³ per cell
SG: F-43m, No. 216